Material: MgPaMo
Method: DFT, PBE
State: relaxed

Calculated values
* energy above the most stable polymorph in this dataset: 0.696 eV/atom

a b c (Å): 6.601 6.601 6.601
angles (deg): 90.00 90.00 90.00
Space group F-43m (No. 216)
Symmetry-distinct sites (fractional):
Mg 0.000 0.000 0.000 [4 per cell]
Pa 0.250 0.250 0.250 [4 per cell]
Mo 0.000 0.000 0.500 [4 per cell]

=====

Material: MgPaMo
Method: DFT, PBE
State: relaxed

Calculated values
* energy above the most stable polymorph in this dataset: 0.000 eV/atom

a b c (Å): 6.498 6.498 6.498
angles (deg): 90.00 90.00 90.00
Space group F-43m (No. 216)
Symmetry-distinct sites (fractional):
Mg 0.000 0.000 0.000 [4 per cell]
Pa 0.000 0.000 0.500 [4 per cell]
Mo 0.250 0.250 0.250 [4 per cell]

=====

Material: MgTeMoPb
Method: DFT, PBE
State: relaxed

Calculated values
* energy above the most stable polymorph in this dataset: 0.000 eV/atom

a b c (Å): 6.992 6.992 6.992
angles (deg): 90.00 90.00 90.00
Space group F-43m (No. 216)
Symmetry-distinct sites (fractional):
Mg 0.000 0.000 0.000 [4 per cell]
Te 0.250 0.250 0.750 [4 per cell]
Mo 0.000 0.000 0.500 [4 per cell]
Pb 0.250 0.250 0.250 [4 per cell]

=====

Material: MgMoPbW
Method: DFT, PBE
State: relaxed

Calculated values
* energy above the most stable polymorph in this dataset: 0.408 eV/atom

a b c (Å): 6.630 6.630 6.630
angles (deg): 90.00 90.00 90.00
Space group F-43m (No. 216)
Symmetry-distinct sites (fractional):
Mg 0.000 0.000 0.000 [4 per cell]
Mo 0.250 0.250 0.250 [4 per cell]
Pb 0.000 0.000 0.500 [4 per cell]
W 0.250 0.250 0.750 [4 per cell]

=====

Material: MgMoPbW
Method: DFT, PBE
State: relaxed

Calculated values
* energy above the most stable polymorph in this dataset: 0.000 eV/atom

a b c (Å): 6.603 6.603 6.603
angles (deg): 90.00 90.00 90.00
Space group F-43m (No. 216)
Symmetry-distinct sites (fractional):
Mg 0.000 0.000 0.000 [4 per cell]
Mo 0.000 0.000 0.500 [4 per cell]
Pb 0.250 0.250 0.250 [4 per cell]
W 0.250 0.250 0.750 [4 per cell]

=====

Material: MgMoPd2
Method: DFT, PBE
State: relaxed

Calculated values
* calculated total energy: -46.0 eV for the cell shown

a b c (Å): 4.290 4.290 6.863
angles (deg): 90.00 90.00 90.00
Space group I4/mmm (No. 139)
Symmetry-distinct sites (fractional):
Mg 0.000 0.000 0.000 [2 per cell]
Mo 0.000 0.000 0.500 [2 per cell]
Pd 0.000 0.500 0.250 [4 per cell]

=====

Material: PmMgMo
Method: DFT, PBE
State: relaxed

Calculated values
* energy above the most stable polymorph in this dataset: 0.402 eV/atom

a b c (Å): 7.000 7.000 7.000
angles (deg): 90.00 90.00 90.00
Space group F-43m (No. 216)
Symmetry-distinct sites (fractional):
Pm 0.000 0.000 0.000 [4 per cell]
Mg 0.250 0.250 0.750 [4 per cell]
Mo 0.250 0.250 0.250 [4 per cell]

=====

Material: PmMgMo
Method: DFT, PBE
State: relaxed

Calculated values
* energy above the most stable polymorph in this dataset: 0.000 eV/atom

a b c (Å): 6.904 6.904 6.904
angles (deg): 90.00 90.00 90.00
Space group F-43m (No. 216)
Symmetry-distinct sites (fractional):
Pm 0.000 0.000 0.000 [4 per cell]
Mg 0.000 0.000 0.500 [4 per cell]
Mo 0.250 0.250 0.750 [4 per cell]